Ca2MgPb4: relaxed, PBE.

a b c (Å): 5.802 5.802 13.554
angles (deg): 90.00 90.00 90.00
Space group I4/mmm (No. 139)
One atom of each set of equivalent atoms:
Ca  0.000  0.000  0.136 (multiplicity 4)
Mg  0.000  0.000  0.500 (multiplicity 2)
Pb  0.000  0.500  0.000 (multiplicity 4)
Pb  0.000  0.500  0.250 (multiplicity 4)

Crystal system ... tetragonal

Ca3Mg7Pb4: relaxed, PBE.

a b c (Å): 17.681 4.689 11.060
angles (deg): 90.00 124.02 90.00
Space group C2/m (No. 12)
One atom of each set of equivalent atoms:
Ca  0.000  0.000  0.000 (multiplicity 2)
Ca  0.194  0.500  0.700 (multiplicity 4)
Mg  0.000  0.000  0.500 (multiplicity 2)
Mg  0.013  0.500  0.319 (multiplicity 4)
Mg  0.161  0.000  0.437 (multiplicity 4)
Mg  0.181  0.500  0.020 (multiplicity 4)
Pb  0.116  0.000  0.832 (multiplicity 4)
Pb  0.155  0.500  0.259 (multiplicity 4)

Crystal system ... monoclinic

CaMgPb3: relaxed, PBE.

a b c (Å): 5.472 6.615 8.736
angles (deg): 90.00 108.11 90.00
Space group P2_1/m (No. 11)
One atom of each set of equivalent atoms:
Ca  0.196  0.250  0.399 (multiplicity 2)
Mg  0.399  0.250  0.806 (multiplicity 2)
Pb  0.000  0.000  0.000 (multiplicity 2)
Pb  0.191  0.750  0.374 (multiplicity 2)
Pb  0.414  0.750  0.822 (multiplicity 2)

Crystal system ... monoclinic

Ca2Mg3Pb4: relaxed, PBE.

a b c (Å): 6.680 17.299 8.865
angles (deg): 90.00 90.00 90.00
Space group Cmce (No. 64)
One atom of each set of equivalent atoms:
Ca  0.000  0.111  0.088 (multiplicity 8)
Mg  0.000  0.000  0.500 (multiplicity 4)
Mg  0.250  0.220  0.750 (multiplicity 8)
Pb  0.000  0.182  0.463 (multiplicity 8)
Pb  0.250  0.049  0.750 (multiplicity 8)

Crystal system ... orthorhombic

Respective V values: 32.6, 27.1, 30.1, 28.5 A^3/atom.
Respective ΔH_f (0 K) values: -126, -263, -152, -243 meV per atom.